Below is a relaxed NaAl4Au8 crystal, with properties calculated at the GGA-PBE level.

Geometry as POSCAR:
```
NaAl4Au8
1.0
-0.803 -1.762 -6.914
-0.429 -6.822 -2.198
-6.081 -2.833 -2.558
Na Al Au
1 4 8
Direct
0.000 0.000 0.000
0.500 0.500 0.500
0.500 0.500 0.000
0.000 0.500 0.500
0.500 0.000 0.500
0.820 0.255 0.255
0.255 0.255 0.820
0.255 0.820 0.255
0.244 0.244 0.244
0.756 0.756 0.756
0.745 0.745 0.180
0.745 0.180 0.745
0.180 0.745 0.745
```

Output
crystal system	trigonal
energy of formation	-0.10	eV per atom
final energy	-43.8	eV per formula unit
DOS at the Fermi energy	7.0	states/eV per cell
SG	R-3m
energy above the most stable polymorph in this dataset	23.44	kJ per mole of atoms

Below is a relaxed NaAl3Au2 crystal, with properties calculated at the GGA-PBE level.

Geometry as POSCAR:
```
NaAl3Au2
1.0
4.239 0.000 0.000
-2.119 7.987 -2.704
0.000 -0.014 10.454
Na Al Au
3 9 6
Direct
0.159 0.318 0.705
0.841 0.682 0.295
0.000 0.000 0.000
0.036 0.073 0.357
0.964 0.927 0.643
0.211 0.421 0.388
0.789 0.579 0.612
0.624 0.247 0.196
0.376 0.753 0.804
0.500 0.000 0.500
0.320 0.641 0.030
0.680 0.359 0.970
0.196 0.392 0.130
0.804 0.608 0.870
0.467 0.934 0.209
0.533 0.066 0.791
0.359 0.719 0.546
0.641 0.281 0.454
```

Output
crystal system	monoclinic
energy of formation	-0.33	eV per atom
final energy	-21.1	eV per formula unit
DOS at the Fermi energy	6.5	states/eV per cell
SG	C2/m

Q: DOS at the Fermi energy of number 1 (NaAl4Au8)?
A: 7.0 states/eV per cell

Q: Among the records above, which one has the highest energy of formation?
A: NaAl4Au8

What did the first record say?
Below is a relaxed NaAl4Au8 crystal, with properties calculated at the GGA-PBE level.

Geometry as POSCAR:
```
NaAl4Au8
1.0
-0.803 -1.762 -6.914
-0.429 -6.822 -2.198
-6.081 -2.833 -2.558
Na Al Au
1 4 8
Direct
0.000 0.000 0.000
0.500 0.500 0.500
0.500 0.500 0.000
0.000 0.500 0.500
0.500 0.000 0.500
0.820 0.255 0.255
0.255 0.255 0.820
0.255 0.820 0.255
0.244 0.244 0.244
0.756 0.756 0.756
0.745 0.745 0.180
0.745 0.180 0.745
0.180 0.745 0.745
```

Output
crystal system	trigonal
energy of formation	-0.10	eV per atom
final energy	-43.8	eV per formula unit
DOS at the Fermi energy	7.0	states/eV per cell
SG	R-3m
energy above the most stable polymorph in this dataset	23.44	kJ per mole of atoms